VASP calculation (PBE) on a geometry-optimized HfMnHRu2 structure.

Results
Crystal system: tetragonal
Total energy: -8.477 eV/atom
Size of the total moment: 3.6 μB/cell

Cell: 4.182 4.182 3.611 Å, 90.00 90.00 90.00°
Each line ends with the local moment (μB).
Atoms (fractional coordinates):
Mn 0.000 0.000 0.500  3.11
Ru 0.500 0.000 0.000  0.14
Ru 0.000 0.500 0.000  0.14
Hf 0.500 0.500 0.500  0.01
H 0.000 0.000 0.000  -0.01